Computed, not measured: Ta2FePb at its PBEsol-relaxed geometry at the SCAN level of DFT.

Cell and atoms, written as POSCAR:
```
Ta2FePb
1.0
3.347 0.000 0.000
0.000 4.635 0.000
0.000 0.000 8.864
Ta Fe Pb
4 2 2
Direct
0.000 0.000 0.000
0.000 0.500 0.234
0.500 0.000 0.734
0.500 0.500 0.500
0.000 0.500 0.715
0.500 0.000 0.215
0.000 0.000 0.455
0.500 0.500 0.955
```

Calculated values
The calculation puts the density at 15.09 g cm⁻³. The crystal system is orthorhombic. The value obtained for the magnetic moment is 4.27 μB/cell. Its volume is 137.51 Å³ per cell. The value obtained for the calculated formation energy is 1.25 eV per formula unit.